# 1
NaPmSO: relaxed, PBE-GGA.

Lattice parameters (Å, degrees): 5.8072 10.0076 5.7370 90.00 90.00 90.00
With the nearest neighbours (Å) after each atom.
Element x y z (fractional)
Na1 0.0894 0.0742 0.0000  3 O 2.22-2.31
Na2 0.4106 0.0742 0.5000  3 O 2.22-2.31
Na3 0.5894 0.9258 0.0000  3 O 2.22-2.31
Na4 0.9106 0.9258 0.5000  3 O 2.22-2.31
Pm1 0.0030 0.6730 0.0759  1 O 2.05
Pm2 0.4970 0.6730 0.5759  1 O 2.05
Pm3 0.5030 0.3270 0.0759  1 O 2.05
Pm4 0.9970 0.3270 0.5759  1 O 2.05
S1 0.0034 0.6383 0.5791  5 Pm 2.87-3.12, 1 Na 2.96
S2 0.4966 0.6383 0.0791  5 Pm 2.87-3.12, 1 Na 2.96
S3 0.5034 0.3617 0.5791  5 Pm 2.87-3.12, 1 Na 2.96
S4 0.9966 0.3617 0.0791  5 Pm 2.87-3.12, 1 Na 2.96
O1 0.0402 0.1250 0.6105  1 Pm 2.05, 1 Na 2.22
O2 0.4598 0.1250 0.1105  1 Pm 2.05, 1 Na 2.22
O3 0.5402 0.8750 0.6105  1 Pm 2.05, 1 Na 2.22
O4 0.9598 0.8750 0.1105  1 Pm 2.05, 1 Na 2.22

## Properties
electronic total energy: -93.7 eV for the cell shown



# 2
Nd3Ta3Re2N12: relaxed, PBE-GGA.

Lattice parameters (Å, degrees): 11.2390 11.2390 11.2390 109.47 109.47 109.47
With the nearest neighbours (Å) after each atom.
Element x y z (fractional)
Nd1 0.1250 0.2500 0.3750  8 N 2.53-2.65
Nd2 0.1250 0.3750 0.7500  8 N 2.53-2.65
Nd3 0.2500 0.3750 0.1250  8 N 2.53-2.65
Nd4 0.2500 0.8750 0.6250  8 N 2.53-2.65
Nd5 0.3750 0.1250 0.2500  8 N 2.53-2.65
Nd6 0.3750 0.7500 0.1250  8 N 2.53-2.65
Nd7 0.6250 0.2500 0.8750  8 N 2.53-2.65
Nd8 0.6250 0.8750 0.7500  8 N 2.53-2.65
Nd9 0.7500 0.1250 0.3750  8 N 2.53-2.65
Nd10 0.7500 0.6250 0.8750  8 N 2.53-2.65
Nd11 0.8750 0.6250 0.2500  8 N 2.53-2.65
Nd12 0.8750 0.7500 0.6250  8 N 2.53-2.65
Ta1 0.1250 0.7500 0.8750  4 N 1.94
Ta2 0.1250 0.8750 0.2500  4 N 1.94
Ta3 0.2500 0.1250 0.8750  4 N 1.94
Ta4 0.2500 0.6250 0.3750  4 N 1.94
Ta5 0.3750 0.2500 0.6250  4 N 1.94
Ta6 0.3750 0.6250 0.7500  4 N 1.94
Ta7 0.6250 0.3750 0.2500  4 N 1.94
Ta8 0.6250 0.7500 0.3750  4 N 1.94
Ta9 0.7500 0.3750 0.6250  4 N 1.94
Ta10 0.7500 0.8750 0.1250  4 N 1.94
Ta11 0.8750 0.1250 0.7500  4 N 1.94
Ta12 0.8750 0.2500 0.1250  4 N 1.94
Re1 0.0000 0.0000 0.0000  6 N 2.02
Re2 0.0000 0.0000 0.5000  6 N 2.02
Re3 0.0000 0.5000 0.0000  6 N 2.02
Re4 0.0000 0.5000 0.5000  6 N 2.02
Re5 0.5000 0.0000 0.0000  6 N 2.02
Re6 0.5000 0.0000 0.5000  6 N 2.02
Re7 0.5000 0.5000 0.0000  6 N 2.02
Re8 0.5000 0.5000 0.5000  6 N 2.02
N1 0.0175 0.1932 0.1131  1 Ta 1.94, 1 Re 2.02
N2 0.0175 0.3243 0.9044  1 Ta 1.94, 1 Re 2.02
N3 0.0801 0.6932 0.6757  1 Ta 1.94, 1 Re 2.02
N4 0.0801 0.8869 0.4044  1 Ta 1.94, 1 Re 2.02
N5 0.0956 0.6131 0.4199  1 Ta 1.94, 1 Re 2.02
N6 0.0956 0.9825 0.6757  1 Ta 1.94, 1 Re 2.02
N7 0.1131 0.0175 0.1932  1 Ta 1.94, 1 Re 2.02
N8 0.1131 0.5956 0.9199  1 Ta 1.94, 1 Re 2.02
N9 0.1757 0.1932 0.5801  1 Ta 1.94, 1 Re 2.02
N10 0.1757 0.4825 0.5956  1 Ta 1.94, 1 Re 2.02
N11 0.1932 0.1131 0.0175  1 Ta 1.94, 1 Re 2.02
N12 0.1932 0.5801 0.1757  1 Ta 1.94, 1 Re 2.02
N13 0.3068 0.3243 0.9199  1 Ta 1.94, 1 Re 2.02
N14 0.3068 0.4825 0.3869  1 Ta 1.94, 1 Re 2.02
N15 0.3243 0.9044 0.0175  1 Ta 1.94, 1 Re 2.02
N16 0.3243 0.9199 0.3068  1 Ta 1.94, 1 Re 2.02
N17 0.3869 0.3068 0.4825  1 Ta 1.94, 1 Re 2.02
N18 0.3869 0.5801 0.9044  1 Ta 1.94, 1 Re 2.02
N19 0.4044 0.0801 0.8869  1 Ta 1.94, 1 Re 2.02
N20 0.4044 0.8243 0.5175  1 Ta 1.94, 1 Re 2.02
N21 0.4199 0.0956 0.6131  1 Ta 1.94, 1 Re 2.02
N22 0.4199 0.8243 0.8068  1 Ta 1.94, 1 Re 2.02
N23 0.4825 0.3869 0.3068  1 Ta 1.94, 1 Re 2.02
N24 0.4825 0.5956 0.1757  1 Ta 1.94, 1 Re 2.02
N25 0.5175 0.4044 0.8243  1 Ta 1.94, 1 Re 2.02
N26 0.5175 0.6131 0.6932  1 Ta 1.94, 1 Re 2.02
N27 0.5801 0.1757 0.1932  1 Ta 1.94, 1 Re 2.02
N28 0.5801 0.9044 0.3869  1 Ta 1.94, 1 Re 2.02
N29 0.5956 0.1757 0.4825  1 Ta 1.94, 1 Re 2.02
N30 0.5956 0.9199 0.1131  1 Ta 1.94, 1 Re 2.02
N31 0.6131 0.4199 0.0956  1 Ta 1.94, 1 Re 2.02
N32 0.6131 0.6932 0.5175  1 Ta 1.94, 1 Re 2.02
N33 0.6757 0.0801 0.6932  1 Ta 1.94, 1 Re 2.02
N34 0.6757 0.0956 0.9825  1 Ta 1.94, 1 Re 2.02
N35 0.6932 0.5175 0.6131  1 Ta 1.94, 1 Re 2.02
N36 0.6932 0.6757 0.0801  1 Ta 1.94, 1 Re 2.02
N37 0.8068 0.4199 0.8243  1 Ta 1.94, 1 Re 2.02
N38 0.8068 0.8869 0.9825  1 Ta 1.94, 1 Re 2.02
N39 0.8243 0.5175 0.4044  1 Ta 1.94, 1 Re 2.02
N40 0.8243 0.8068 0.4199  1 Ta 1.94, 1 Re 2.02
N41 0.8869 0.4044 0.0801  1 Ta 1.94, 1 Re 2.02
N42 0.8869 0.9825 0.8068  1 Ta 1.94, 1 Re 2.02
N43 0.9044 0.0175 0.3243  1 Ta 1.94, 1 Re 2.02
N44 0.9044 0.3869 0.5801  1 Ta 1.94, 1 Re 2.02
N45 0.9199 0.1131 0.5956  1 Ta 1.94, 1 Re 2.02
N46 0.9199 0.3068 0.3243  1 Ta 1.94, 1 Re 2.02
N47 0.9825 0.6757 0.0956  1 Ta 1.94, 1 Re 2.02
N48 0.9825 0.8068 0.8869  1 Ta 1.94, 1 Re 2.02

## Properties
electronic total energy: -759.4 eV for the cell shown